Tb3Ce4HoS8: optimized geometry, PBE.

Computed properties:
total magnetization = 2.73 μB/f.u.
Fermi-level density of states = 21.445 states/eV/cell
raw total energy = -107.76 eV per formula unit
symmetry = R-3m
calculated density = 6.8 g/cm³
raw formation energy = -2033 meV per atom
volume = 354 Å³ per cell

Cell lengths 7.9726, 7.9726, 7.9726 Å; angles 59.48, 59.48, 59.48 degrees
Fractional coordinates of all 16 atoms:
Tb (0.0000, 0.5000, 0.5000)
Tb (0.5000, 0.0000, 0.5000)
Tb (0.5000, 0.5000, 0.0000)
Ce (0.0000, 0.0000, 0.5000)
Ce (0.0000, 0.5000, 0.0000)
Ce (0.5000, 0.0000, 0.0000)
Ce (0.5000, 0.5000, 0.5000)
Ho (0.0000, 0.0000, 0.0000)
S (0.2454, 0.2454, 0.7483)
S (0.2454, 0.7483, 0.2454)
S (0.2517, 0.7546, 0.7546)
S (0.2532, 0.2532, 0.2532)
S (0.7468, 0.7468, 0.7468)
S (0.7483, 0.2454, 0.2454)
S (0.7546, 0.2517, 0.7546)
S (0.7546, 0.7546, 0.2517)


CsTeH2: optimized geometry, PBE.

Computed properties:
total magnetization = 0.00 μB/f.u.
raw total energy = -12.39 eV per formula unit
symmetry = Cmcm
calculated density = 3.9 g/cm³
E above lowest polymorph = 0.000 eV/atom
volume = 222 Å³ per cell

Cell lengths 7.1682, 7.1682, 5.7720 Å; angles 90.00, 90.00, 131.45 degrees
Fractional coordinates of all 8 atoms:
Cs (0.1325, 0.8675, 0.7500)
Cs (0.8675, 0.1325, 0.2500)
Te (0.4585, 0.5415, 0.7500)
Te (0.5415, 0.4585, 0.2500)
H (0.2762, 0.7238, 0.1846)
H (0.2762, 0.7238, 0.3154)
H (0.7238, 0.2762, 0.6846)
H (0.7238, 0.2762, 0.8154)


CoB3Te: optimized geometry, PBE.

Computed properties:
total magnetization = 0.00 μB/f.u.
Fermi-level density of states = 2.398 states/eV/cell
raw total energy = -24.25 eV per formula unit
symmetry = Pm-3m
calculated density = 5.8 g/cm³
raw formation energy = 1207 meV per atom
E above lowest polymorph = 0.000 eV/atom
volume = 62 Å³ per cell

Cell lengths 3.9661, 3.9661, 3.9661 Å; angles 90.00, 90.00, 90.00 degrees
Fractional coordinates of all 5 atoms:
Co (0.0000, 0.0000, 0.0000)
B (0.0000, 0.0000, 0.5000)
B (0.0000, 0.5000, 0.0000)
B (0.5000, 0.0000, 0.0000)
Te (0.5000, 0.5000, 0.5000)


Ba2PdCl6: optimized geometry, PBE.

Computed properties:
total magnetization = 0.00 μB/f.u.
Fermi-level density of states = 0.406 states/eV/cell
raw total energy = -35.21 eV per formula unit
symmetry = P4_2/mnm
calculated density = 3.0 g/cm³
raw formation energy = -1677 meV per atom
volume = 654 Å³ per cell

Cell lengths 7.1134, 7.1134, 12.9299 Å; angles 90.00, 90.00, 90.00 degrees
Fractional coordinates of all 18 atoms:
Ba (0.0000, 0.0000, 0.1680)
Ba (0.0000, 0.0000, 0.8320)
Ba (0.5000, 0.5000, 0.3320)
Ba (0.5000, 0.5000, 0.6680)
Pd (0.0000, 0.0000, 0.5000)
Pd (0.5000, 0.5000, 0.0000)
Cl (0.1687, 0.1687, 0.3705)
Cl (0.1687, 0.1687, 0.6295)
Cl (0.1952, 0.1952, 0.0000)
Cl (0.3048, 0.6952, 0.5000)
Cl (0.3313, 0.6687, 0.1295)
Cl (0.3313, 0.6687, 0.8705)
Cl (0.6687, 0.3313, 0.1295)
Cl (0.6687, 0.3313, 0.8705)
Cl (0.6952, 0.3048, 0.5000)
Cl (0.8048, 0.8048, 0.0000)
Cl (0.8313, 0.8313, 0.3705)
Cl (0.8313, 0.8313, 0.6295)


Which value of total magnetization does entry 3 give? 0.00 μB/f.u.


volume of number 4 (Ba2PdCl6)? 654 Å³ per cell